Arrangement w

DFT (GGA+U) results for a geometry-optimized MnSbTe2F structure.

abc: 5.2018 5.2018 5.2721
angles: 90.00 90.00 90.00
Closest atoms and distances in Å follow each position.
Positions (direct):
Mn  0.0000  0.0000  0.0000  4 Te 2.60, 2 Sb 2.64
Sb  0.0000  0.0000  0.5000  2 Mn 2.64
Te  0.0000  0.5000  0.0000  2 Mn 2.60
Te  0.5000  0.0000  0.0000  2 Mn 2.60
F  0.5000  0.5000  0.5000  4 Sb 3.68, 8 Te 3.70

Computed properties:
Symmetry ... P4/mmm
Crystal system ... tetragonal


Arrangement x

DFT (GGA+U) results for a geometry-optimized MnSbTe2F structure.

abc: 5.4616 5.4616 4.3532
angles: 90.00 90.00 90.00
Closest atoms and distances in Å follow each position.
Positions (direct):
Mn  0.0000  0.0000  0.0000  8 Te 3.49, 4 Sb 3.86
Sb  0.5000  0.5000  0.0000  2 F 2.18
Te  0.0000  0.5000  0.5000  2 F 2.73
Te  0.5000  0.0000  0.5000  2 F 2.73
F  0.5000  0.5000  0.5000  2 Sb 2.18

Computed properties:
Symmetry ... P4/mmm
Crystal system ... tetragonal


Most stable to least stable, the ends of the list are arrangement x and arrangement w.


Arrangement w

DFT (GGA+U) results for a geometry-optimized Sc3MnF structure.

abc: 4.5537 4.5537 4.5537
angles: 90.00 90.00 90.00
Closest atoms and distances in Å follow each position.
Positions (direct):
Sc  0.0000  0.0000  0.5000  2 F 2.28
Sc  0.0000  0.5000  0.0000  2 F 2.28
Sc  0.5000  0.0000  0.0000  2 F 2.28
Mn  0.5000  0.5000  0.5000  12 Sc 3.22
F  0.0000  0.0000  0.0000  6 Sc 2.28

Computed properties:
Symmetry ... Pm-3m
Crystal system ... cubic


Arrangement x

DFT (GGA+U) results for a geometry-optimized Sc3MnF structure.

abc: 5.0446 5.0446 5.0446
angles: 90.00 90.00 90.00
Closest atoms and distances in Å follow each position.
Positions (direct):
Sc  0.0000  0.0000  0.5000  2 Mn 2.52
Sc  0.0000  0.5000  0.0000  2 Mn 2.52
Sc  0.5000  0.0000  0.0000  2 Mn 2.52
Mn  0.0000  0.0000  0.0000  6 Sc 2.52
F  0.5000  0.5000  0.5000  12 Sc 3.57

Computed properties:
Symmetry ... Pm-3m
Crystal system ... cubic


Most stable to least stable, the ends of the list are arrangement w and arrangement x.


Arrangement w

DFT (GGA+U) results for a geometry-optimized ScMn3F structure.

abc: 5.4680 5.4680 5.4680
angles: 90.00 90.00 90.00
Closest atoms and distances in Å follow each position.
Positions (direct):
Sc  0.0000  0.0000  0.0000  6 Mn 2.73
Mn  0.0000  0.0000  0.5000  2 Sc 2.73
Mn  0.0000  0.5000  0.0000  2 Sc 2.73
Mn  0.5000  0.0000  0.0000  2 Sc 2.73
F  0.5000  0.5000  0.5000  12 Mn 3.87

Computed properties:
Symmetry ... Pm-3m
Crystal system ... cubic


Arrangement x

DFT (GGA+U) results for a geometry-optimized ScMn3F structure.

abc: 4.6085 4.6085 4.6085
angles: 90.00 90.00 90.00
Closest atoms and distances in Å follow each position.
Positions (direct):
Sc  0.0000  0.0000  0.0000  12 Mn 3.26
Mn  0.0000  0.5000  0.5000  2 F 2.30
Mn  0.5000  0.0000  0.5000  2 F 2.30
Mn  0.5000  0.5000  0.0000  2 F 2.30
F  0.5000  0.5000  0.5000  6 Mn 2.30

Computed properties:
Symmetry ... Pm-3m
Crystal system ... cubic


Most stable to least stable, the ends of the list are arrangement x and arrangement w.


Arrangement w

DFT (GGA+U) results for a geometry-optimized ScMnF2 structure.

abc: 6.8786 6.8786 6.8786
angles: 134.85 134.85 65.76
Closest atoms and distances in Å follow each position.
Positions (direct):
Sc  0.0000  0.0000  0.0000  4 F 2.03
Sc  0.7500  0.2500  0.5000  4 F 2.03
Mn  0.2500  0.7500  0.5000  4 F 2.88
Mn  0.5000  0.5000  0.0000  4 F 2.88
F  0.3750  0.2239  0.3489  2 Sc 2.03
F  0.7761  0.1250  0.1511  2 Sc 2.03
F  0.8750  0.0261  0.6511  2 Sc 2.03
F  0.9739  0.6250  0.8489  2 Sc 2.03

Computed properties:
Symmetry ... I-42d
Crystal system ... tetragonal


Arrangement x

DFT (GGA+U) results for a geometry-optimized ScMnF2 structure.

abc: 4.3248 4.3248 4.3248
angles: 60.00 60.00 60.00
Closest atoms and distances in Å follow each position.
Positions (direct):
Sc  0.0000  0.0000  0.0000  8 F 2.65
Mn  0.5000  0.5000  0.5000  8 F 2.65
F  0.2500  0.2500  0.2500  4 Mn 2.65, 4 Sc 2.65
F  0.7500  0.7500  0.7500  4 Mn 2.65, 4 Sc 2.65

Computed properties:
Symmetry ... Fm-3m
Crystal system ... cubic


Most stable to least stable, the ends of the list are arrangement w and arrangement x.


Arrangement w

DFT (GGA+U) results for a geometry-optimized MnSe2F structure.

abc: 9.2621 9.2621 9.2621
angles: 18.77 18.77 18.77
Closest atoms and distances in Å follow each position.
Positions (direct):
Mn  0.0000  0.0000  0.0000  2 Se 2.54
Se  0.0930  0.0930  0.0930  1 Mn 2.54, 3 F 2.66
Se  0.9070  0.9070  0.9070  1 Mn 2.54, 3 F 2.66
F  0.5000  0.5000  0.5000  6 Se 2.66

Computed properties:
Symmetry ... R-3m
Crystal system ... trigonal


Arrangement x

DFT (GGA+U) results for a geometry-optimized MnSe2F structure.

abc: 4.5307 4.5307 4.5307
angles: 60.00 60.00 60.00
Closest atoms and distances in Å follow each position.
Positions (direct):
Mn  0.0000  0.0000  0.0000  8 Se 2.77
Se  0.2500  0.2500  0.2500  4 F 2.77, 4 Mn 2.77
Se  0.7500  0.7500  0.7500  4 F 2.77, 4 Mn 2.77
F  0.5000  0.5000  0.5000  8 Se 2.77

Computed properties:
Symmetry ... Fm-3m
Crystal system ... cubic


Arrangement y

DFT (GGA+U) results for a geometry-optimized MnSe2F structure.

abc: 7.2209 7.2209 7.2209
angles: 133.33 133.33 68.13
Closest atoms and distances in Å follow each position.
Positions (direct):
Mn  0.0000  0.0000  0.0000  4 Se 2.46
Mn  0.7500  0.2500  0.5000  4 Se 2.46
Se  0.1083  0.6250  0.9833  2 Mn 2.46, 2 F 2.57
Se  0.3750  0.3583  0.4833  2 Mn 2.46, 2 F 2.57
Se  0.6417  0.1250  0.0167  2 Mn 2.46, 2 F 2.57
Se  0.8750  0.8917  0.5167  2 Mn 2.46, 2 F 2.57
F  0.2500  0.7500  0.5000  4 Se 2.57
F  0.5000  0.5000  0.0000  4 Se 2.57

Computed properties:
Symmetry ... I-42d
Crystal system ... tetragonal


Most stable to least stable, the ends of the list are arrangement x and arrangement w.


Arrangement w

DFT (GGA+U) results for a geometry-optimized MnSeF2 structure.

abc: 5.9845 5.9845 5.9845
angles: 115.54 115.54 97.92
Closest atoms and distances in Å follow each position.
Positions (direct):
Mn  0.0000  0.0000  0.0000  4 F 2.00
Mn  0.7500  0.2500  0.5000  4 F 2.00
Se  0.2500  0.7500  0.5000  8 F 3.12-3.42
Se  0.5000  0.5000  0.0000  8 F 3.12-3.42
F  0.3750  0.2334  0.3584  2 Mn 2.00
F  0.7666  0.1250  0.1416  2 Mn 2.00
F  0.8750  0.0166  0.6416  2 Mn 2.00
F  0.9834  0.6250  0.8584  2 Mn 2.00

Computed properties:
Symmetry ... I-42d
Crystal system ... tetragonal


Arrangement x

DFT (GGA+U) results for a geometry-optimized MnSeF2 structure.

abc: 4.3542 4.3542 4.3542
angles: 60.00 60.00 60.00
Closest atoms and distances in Å follow each position.
Positions (direct):
Mn  0.0000  0.0000  0.0000  8 F 2.67
Se  0.5000  0.5000  0.5000  8 F 2.67
F  0.2500  0.2500  0.2500  4 Se 2.67, 4 Mn 2.67
F  0.7500  0.7500  0.7500  4 Se 2.67, 4 Mn 2.67

Computed properties:
Symmetry ... Fm-3m
Crystal system ... cubic


Most stable to least stable, the ends of the list are arrangement w and arrangement x.